## DyMnPd6 (PBE)

Data for an optimized crystal structure of DyMnPd6.

Output
**Energy relative to the elements**: -525.7 meV per atom
**ρ**: 10.88 Mg/m³
**Offset from the most stable computed form**: 0.00 eV per formula unit
**Space group**: P4/mmm, No. 123
**Energy**: -6.142 eV/atom
**V**: 16.3 Å³ per atom

Cell: 4.041 4.041 8.003 Å, 90.00 90.00 90.00°
Fractional positions:
Pd 0.500 0.500 0.000
Pd 0.500 0.000 0.736
Pd 0.000 0.500 0.736
Pd 0.500 0.000 0.264
Pd 0.000 0.500 0.264
Pd 0.500 0.500 0.500
Dy 0.000 0.000 0.000
Mn 0.000 0.000 0.500

***

## DyMnPd6 (PBE)

Data for an optimized crystal structure of DyMnPd6.

Output
**Energy relative to the elements**: -19.4 meV per atom
**ρ**: 9.22 Mg/m³
**Offset from the most stable computed form**: 4.05 eV per formula unit
**Space group**: R-3m, No. 166
**Energy**: -5.635 eV/atom
**V**: 19.3 Å³ per atom

Cell: 5.367 5.367 5.367 Å, 87.62 87.62 87.62°
Fractional positions:
Pd 0.170 0.170 0.539
Pd 0.830 0.461 0.830
Pd 0.830 0.830 0.461
Pd 0.170 0.539 0.170
Pd 0.539 0.170 0.170
Pd 0.461 0.830 0.830
Dy 0.000 0.000 0.000
Mn 0.500 0.500 0.500

***

## DyMnPd4 (PBE)

Data for an optimized crystal structure of DyMnPd4.

Output
**Energy relative to the elements**: -287.7 meV per atom
**ρ**: 9.04 Mg/m³
**Offset from the most stable computed form**: 1.01 eV per formula unit
**Space group**: P4/mmm, No. 123
**Energy**: -6.045 eV/atom
**V**: 19.7 Å³ per atom

Cell: 3.949 3.950 7.573 Å, 90.00 90.00 90.00°
Fractional positions:
Pd 0.001 0.497 0.273
Pd 0.001 0.497 0.723
Pd 0.501 0.997 0.723
Pd 0.501 0.997 0.273
Dy 0.501 0.497 0.998
Mn 0.001 0.997 0.498

***

## DyMn2Pd8 (PBE)

Data for an optimized crystal structure of DyMn2Pd8.

Output
**Energy relative to the elements**: -419.2 meV per atom
**ρ**: 10.52 Mg/m³
**Space group**: C2/m, No. 12
**Energy**: -6.281 eV/atom
**V**: 16.1 Å³ per atom

Cell: 4.073 6.365 7.419 Å, 105.88 105.93 90.00°
Fractional positions:
Pd 0.683 0.918 0.367
Pd 0.046 0.721 0.092
Pd 0.954 0.279 0.908
Pd 0.400 0.532 0.801
Pd 0.600 0.468 0.199
Pd 0.317 0.082 0.633
Pd 0.854 0.796 0.708
Pd 0.146 0.204 0.292
Dy 0.500 0.000 0.000
Mn 0.775 0.347 0.550
Mn 0.225 0.653 0.450

***

## DyMn2Pd9 (PBE)

Data for an optimized crystal structure of DyMn2Pd9.

Output
**Energy relative to the elements**: -424.4 meV per atom
**ρ**: 10.70 Mg/m³
**Space group**: P4/mmm, No. 123
**Energy**: -6.231 eV/atom
**V**: 15.9 Å³ per atom

Cell: 4.010 4.010 11.867 Å, 90.00 90.00 90.00°
Fractional positions:
Mn 0.000 0.000 0.341
Mn 0.000 0.000 0.659
Pd 0.000 0.500 0.500
Pd 0.500 0.500 0.339
Pd 0.000 0.500 0.179
Pd 0.500 0.000 0.821
Pd 0.500 0.000 0.179
Pd 0.500 0.500 0.000
Pd 0.500 0.500 0.661
Pd 0.500 0.000 0.500
Pd 0.000 0.500 0.821
Dy 0.000 0.000 0.000

***

## Dy3MnPd12 (PBE)

Data for an optimized crystal structure of Dy3MnPd12.

Output
**Energy relative to the elements**: -702.2 meV per atom
**ρ**: 11.17 Mg/m³
**Space group**: P4/mmm, No. 123
**Energy**: -6.033 eV/atom
**V**: 16.9 Å³ per atom

Cell: 4.084 4.084 16.212 Å, 90.00 90.00 90.00°
Fractional positions:
Pd 0.500 0.500 0.243
Pd 0.500 0.000 0.372
Pd 0.000 0.500 0.372
Pd 0.500 0.500 0.500
Pd 0.000 0.500 0.885
Pd 0.500 0.000 0.115
Pd 0.500 0.000 0.628
Pd 0.000 0.500 0.628
Pd 0.500 0.000 0.885
Pd 0.500 0.500 0.000
Pd 0.000 0.500 0.115
Pd 0.500 0.500 0.757
Dy 0.000 0.000 0.500
Dy 0.000 0.000 0.757
Dy 0.000 0.000 0.243
Mn 0.000 0.000 0.000

***

## DyMnPd4 (PBE)

Data for an optimized crystal structure of DyMnPd4.

Output
**Energy relative to the elements**: -456.6 meV per atom
**ρ**: 10.01 Mg/m³
**Offset from the most stable computed form**: 0.00 eV per formula unit
**Space group**: F-43m, No. 216
**Energy**: -6.214 eV/atom
**V**: 17.8 Å³ per atom

Cell: 5.323 5.323 5.323 Å, 60.00 60.00 60.00°
Fractional positions:
Mn 0.250 0.250 0.250
Pd 0.625 0.625 0.625
Pd 0.625 0.126 0.625
Pd 0.126 0.625 0.625
Pd 0.625 0.625 0.126
Dy 0.000 0.000 0.000

***

## DyMn2Pd7 (PBE)

Data for an optimized crystal structure of DyMn2Pd7.

Output
**Energy relative to the elements**: 48.8 meV per atom
**ρ**: 8.27 Mg/m³
**Space group**: Cmmm, No. 65
**Energy**: -5.880 eV/atom
**V**: 20.4 Å³ per atom

Cell: 4.447 7.308 7.308 Å, 120.73 90.00 90.00°
Fractional positions:
Pd 0.500 0.698 0.929
Pd 0.500 0.071 0.302
Pd 0.500 0.302 0.071
Pd 0.500 0.500 0.500
Pd 0.500 0.929 0.698
Pd 0.000 0.214 0.786
Pd 0.000 0.786 0.214
Mn 0.500 0.301 0.699
Mn 0.500 0.699 0.301
Dy 0.000 0.000 0.000

***

## DyMnPdRh (PBE)

Data for an optimized crystal structure of DyMnPdRh.

Output
**Energy relative to the elements**: -509.7 meV per atom
**ρ**: 10.03 Mg/m³
**Space group**: F-43m, No. 216
**Energy**: -7.089 eV/atom
**V**: 17.7 Å³ per atom

Cell: 4.641 4.641 4.641 Å, 60.00 60.00 60.00°
Fractional positions:
Pd 0.500 0.500 0.500
Mn 0.250 0.250 0.250
Dy 0.750 0.750 0.750
Rh 0.000 0.000 0.000

***

## Dy2MnZn2Pd5 (PBE)

Data for an optimized crystal structure of Dy2MnZn2Pd5.

Output
**Energy relative to the elements**: -616.8 meV per atom
**ρ**: 9.88 Mg/m³
**Space group**: P4/mbm, No. 127
**Energy**: -5.305 eV/atom
**V**: 17.5 Å³ per atom

Cell: 3.778 9.632 9.632 Å, 90.00 90.00 90.00°
Fractional positions:
Pd 0.500 0.500 0.000
Pd 0.500 0.702 0.434
Pd 0.500 0.934 0.202
Pd 0.500 0.066 0.798
Pd 0.500 0.202 0.066
Pd 0.500 0.798 0.934
Pd 0.500 0.566 0.702
Pd 0.500 0.298 0.566
Pd 0.500 0.000 0.500
Pd 0.500 0.434 0.298
Zn 0.000 0.122 0.622
Zn 0.000 0.378 0.122
Zn 0.000 0.878 0.378
Zn 0.000 0.622 0.878
Dy 0.000 0.676 0.176
Dy 0.000 0.324 0.824
Dy 0.000 0.824 0.676
Dy 0.000 0.176 0.324
Mn 0.000 0.000 0.000
Mn 0.000 0.500 0.500

***

## PmDy2Mn (PBE)

Data for an optimized crystal structure of PmDy2Mn.

Output
**Energy relative to the elements**: 123.7 meV per atom
**ρ**: 7.91 Mg/m³
**Offset from the most stable computed form**: 0.00 eV per formula unit
**Space group**: P4/mmm, No. 123
**Energy**: -5.657 eV/atom
**V**: 27.6 Å³ per atom

Cell: 3.531 3.531 8.840 Å, 90.00 90.00 90.00°
Fractional positions:
Dy 0.000 0.000 0.805
Dy 0.000 0.000 0.195
Pm 0.500 0.500 0.500
Mn 0.500 0.500 0.000

***

## Pm2DyMn (PBE)

Data for an optimized crystal structure of Pm2DyMn.

Output
**Energy relative to the elements**: 169.3 meV per atom
**ρ**: 7.34 Mg/m³
**Offset from the most stable computed form**: 0.00 eV per formula unit
**Space group**: P4/mmm, No. 123
**Energy**: -5.649 eV/atom
**V**: 28.7 Å³ per atom

Cell: 3.603 3.603 8.850 Å, 90.00 90.00 90.00°
Fractional positions:
Pm 0.000 0.000 0.209
Pm 0.000 0.000 0.791
Dy 0.500 0.500 0.500
Mn 0.500 0.500 0.000

***

Please write out number 4 again, unchanged.
## DyMn2Pd8 (PBE)

Data for an optimized crystal structure of DyMn2Pd8.

Output
**Energy relative to the elements**: -419.2 meV per atom
**ρ**: 10.52 Mg/m³
**Space group**: C2/m, No. 12
**Energy**: -6.281 eV/atom
**V**: 16.1 Å³ per atom

Cell: 4.073 6.365 7.419 Å, 105.88 105.93 90.00°
Fractional positions:
Pd 0.683 0.918 0.367
Pd 0.046 0.721 0.092
Pd 0.954 0.279 0.908
Pd 0.400 0.532 0.801
Pd 0.600 0.468 0.199
Pd 0.317 0.082 0.633
Pd 0.854 0.796 0.708
Pd 0.146 0.204 0.292
Dy 0.500 0.000 0.000
Mn 0.775 0.347 0.550
Mn 0.225 0.653 0.450

***

Among the records above, which one has the lowest ρ?
Pm2DyMn

***

Number 8 is which compound?
DyMn2Pd7

***

Number 9 is which compound?
DyMnPdRh